[1]
! SCAN CaMg2Zn, PBEsol geometry; values from VASP
&SYSTEM
  ibrav = 0, nat = 8, ntyp = 3
/
ATOMIC_SPECIES
Ca 40.08 Ca.upf
Mg 24.30 Mg.upf
Zn 65.41 Zn.upf
CELL_PARAMETERS angstrom
4.726 0.000 0.000
0.000 6.060 0.000
0.000 0.000 6.628
ATOMIC_POSITIONS crystal
Ca 0.250 0.250 0.084
Ca 0.750 0.750 0.916
Mg 0.250 0.005 0.631
Mg 0.250 0.495 0.631
Mg 0.750 0.505 0.369
Mg 0.750 0.995 0.369
Zn 0.250 0.750 0.258
Zn 0.750 0.250 0.742
! SG	Pmmn (59)
! magnetization	0.0	μB/cell
! total energy	-8.436	eV/atom



[2]
! SCAN CaMg2Zn, PBEsol geometry; values from VASP
&SYSTEM
  ibrav = 0, nat = 4, ntyp = 3
/
ATOMIC_SPECIES
Ca 40.08 Ca.upf
Mg 24.30 Mg.upf
Zn 65.41 Zn.upf
CELL_PARAMETERS angstrom
0.000 3.551 3.551
3.551 0.000 3.551
3.551 3.551 0.000
ATOMIC_POSITIONS crystal
Ca 0.000 0.000 0.000
Mg 0.250 0.250 0.250
Mg 0.500 0.500 0.500
Zn 0.750 0.750 0.750
! SG	F-43m (216)
! magnetization	0.0	μB/cell
! total energy	-8.385	eV/atom



[3]
! SCAN CaMg2Zn, PBEsol geometry; values from VASP
&SYSTEM
  ibrav = 0, nat = 8, ntyp = 3
/
ATOMIC_SPECIES
Ca 40.08 Ca.upf
Mg 24.30 Mg.upf
Zn 65.41 Zn.upf
CELL_PARAMETERS angstrom
-2.410 2.410 8.028
2.410 -2.410 8.028
2.410 2.410 -8.028
ATOMIC_POSITIONS crystal
Ca 0.144 0.144 0.000
Ca 0.856 0.856 0.000
Mg 0.000 0.500 0.500
Mg 0.356 0.356 0.000
Mg 0.500 0.000 0.500
Mg 0.644 0.644 0.000
Zn 0.250 0.750 0.500
Zn 0.750 0.250 0.500
! SG	I4/mmm (139)
! magnetization	0.1	μB/cell
! total energy	-8.412	eV/atom



> Among the records above, which one has the lowest total energy?

number 1



> The highest total energy belongs to which entry?

number 2



> The lowest total energy belongs to which entry?

number 1